DFT (PBE-GGA) results for an optimized crystal structure of Zr2VHgRu.

abc: 4.8942 4.8942 5.2059
angles: 90.00 90.00 90.00
Closest atoms and distances in Å follow each position.
Space group P4/mmm (No. 123)
Asymmetric unit:
Zr: 0.0000 0.5000 0.0000 x2  2 Ru 2.45
V: 0.0000 0.0000 0.5000 x1  4 Hg 3.46, 8 Zr 3.57
Hg: 0.5000 0.5000 0.5000 x1  2 Ru 2.60
Ru: 0.5000 0.5000 0.0000 x1  4 Zr 2.45, 2 Hg 2.60

**Energy relative to the elements**: 0.71 eV per atom
**Total DFT energy (no corrections)**: -6.450 eV per atom
**DOS(E_F)**: 4.9 states/eV/f.u.
**ΔE to the lowest computed polymorph**: 180.8 meV/atom